This record from the Alexandria database describes a geometry-optimized NaTe2OsI structure. The functional is PBE.

**Polymorph energy (0 for the lowest one)**: 0 meV per atom
**Raw formation energy**: 115 kJ/mol of formula units

Geometry as extended XYZ:
```
5
Lattice="5.189 0.000 0.000 0.000 5.189 0.000 0.000 0.000 6.045" Properties=species:S:1:pos:R:3 pbc="T T T"
Na 2.595 2.595 3.023
I 0.000 0.000 3.023
Os 0.000 0.000 0.000
Te 0.000 2.595 0.000
Te 2.595 0.000 0.000
```

=====

This record from the Alexandria database describes a geometry-optimized LiTl2 structure. The functional is PBE.

**Polymorph energy (0 for the lowest one)**: 28 meV per atom
**ΔE_f**: -107 meV/atom

Geometry as extended XYZ:
```
6
Lattice="-3.070 3.029 -4.435 -5.499 2.083 -1.920 0.204 6.654 2.699" Properties=species:S:1:pos:R:3 pbc="T T T"
Li -2.481 4.019 -0.885
Tl -7.964 8.626 -4.448
Tl -5.481 7.998 -2.286
Li 0.122 6.649 2.618
Tl -2.499 7.977 0.586
Tl -5.194 4.719 -3.242
```

=====

This record from the Alexandria database describes a geometry-optimized Tb2BBr structure. The functional is PBE.

**Raw formation energy**: -300 kJ/mol of formula units

Geometry as extended XYZ:
```
4
Lattice="3.897 0.000 0.000 1.948 3.375 0.000 1.948 1.125 7.094" Properties=species:S:1:pos:R:3 pbc="T T T"
Br 3.897 2.250 3.547
Tb 1.948 1.125 1.335
Tb 5.845 3.375 5.759
B 0.000 0.000 0.000
```

=====

Q: Number 3 is which compound?
A: Tb2BBr